Entry 1:
# HgIrSe2

A relaxed HgIrSe2 crystal (PBE-GGA, Alexandria). Values from VASP.

Properties
uncorrected formation energy = 67 kJ/mol of atoms

```
&SYSTEM
  ibrav = 0, nat = 4, ntyp = 3
/
ATOMIC_SPECIES
Hg 200.59 Hg.upf
Ir 192.22 Ir.upf
Se 78.96 Se.upf
CELL_PARAMETERS angstrom
4.077 0.000 0.000
0.000 4.077 0.000
0.000 0.000 4.571
ATOMIC_POSITIONS angstrom
Hg 0.000 0.000 0.000
Ir 2.038 2.038 0.000
Se 0.000 2.038 2.286
Se 2.038 0.000 2.286
```

=====

Entry 2:
# Er3CdPd

A relaxed Er3CdPd crystal (PBE-GGA, Alexandria). Values from VASP.

Properties
E_form = -321 meV/atom

```
&SYSTEM
  ibrav = 0, nat = 10, ntyp = 3
/
ATOMIC_SPECIES
Er 167.26 Er.upf
Cd 112.41 Cd.upf
Pd 106.42 Pd.upf
CELL_PARAMETERS angstrom
4.943 -7.450 0.000
4.943 7.450 0.000
0.000 0.000 3.817
ATOMIC_POSITIONS angstrom
Er 4.943 4.892 0.000
Er 3.006 1.747 1.908
Er 3.006 -1.747 1.908
Er 6.880 1.747 1.908
Er 6.880 -1.747 1.908
Er 4.943 -4.892 0.000
Cd 0.000 0.000 1.908
Cd 4.943 0.000 0.000
Pd 2.471 3.725 0.000
Pd 2.471 -3.725 0.000
```

=====

Entry 3:
# AlAgOs2

A relaxed AlAgOs2 crystal (PBE-GGA, Alexandria). Values from VASP.

Properties
E_form = 373 meV/atom

```
&SYSTEM
  ibrav = 0, nat = 4, ntyp = 3
/
ATOMIC_SPECIES
Al 26.98 Al.upf
Ag 107.87 Ag.upf
Os 190.23 Os.upf
CELL_PARAMETERS angstrom
2.803 0.000 0.000
0.000 4.380 0.000
-0.833 0.000 4.954
ATOMIC_POSITIONS angstrom
Al 0.000 0.000 0.000
Ag 0.985 0.000 2.477
Os -0.097 2.190 3.817
Os 2.067 2.190 1.137
```

=====

Entry 4:
# HoHf2Pa

A relaxed HoHf2Pa crystal (PBE-GGA, Alexandria). Values from VASP.

Properties
E_form = 159 meV/atom
distance to the lowest polymorph of the same formula = 0.0 meV/atom

```
&SYSTEM
  ibrav = 0, nat = 4, ntyp = 3
/
ATOMIC_SPECIES
Ho 164.93 Ho.upf
Hf 178.49 Hf.upf
Pa 231.04 Pa.upf
CELL_PARAMETERS angstrom
3.812 0.000 0.000
0.000 3.812 0.000
0.000 0.000 7.002
ATOMIC_POSITIONS angstrom
Ho 0.000 0.000 0.000
Hf 1.906 1.906 2.023
Hf 1.906 1.906 4.979
Pa 0.000 0.000 3.501
```

=====

Entry 5:
# PmCdHg6

A relaxed PmCdHg6 crystal (PBE-GGA, Alexandria). Values from VASP.

Properties
E_form = -166 meV/atom
distance to the lowest polymorph of the same formula = 0.0 meV/atom

```
&SYSTEM
  ibrav = 0, nat = 16, ntyp = 3
/
ATOMIC_SPECIES
Pm 145.00 Pm.upf
Cd 112.41 Cd.upf
Hg 200.59 Hg.upf
CELL_PARAMETERS angstrom
4.975 0.000 0.000
0.000 7.358 0.000
0.000 0.000 10.957
ATOMIC_POSITIONS angstrom
Pm 0.000 0.000 0.000
Pm 0.000 3.679 5.479
Cd 2.487 0.000 2.594
Cd 2.487 3.679 8.073
Hg 0.000 0.000 5.126
Hg 0.000 1.737 8.073
Hg 0.000 1.941 2.594
Hg 0.000 3.679 10.605
Hg 0.000 5.416 2.594
Hg 0.000 5.620 8.073
Hg 2.487 0.000 8.757
Hg 2.487 1.611 5.713
Hg 2.487 2.068 0.234
Hg 2.487 3.679 3.278
Hg 2.487 5.290 0.234
Hg 2.487 5.747 5.713
```

=====

Entry 6:
# Pm4Y2Th3

A relaxed Pm4Y2Th3 crystal (PBE-GGA, Alexandria). Values from VASP.

Properties
E_form = 49 meV/atom
distance to the lowest polymorph of the same formula = 0.0 meV/atom

```
&SYSTEM
  ibrav = 0, nat = 9, ntyp = 3
/
ATOMIC_SPECIES
Pm 145.00 Pm.upf
Y 88.91 Y.upf
Th 232.04 Th.upf
CELL_PARAMETERS angstrom
7.844 -1.811 0.000
7.844 1.811 0.000
-2.580 0.000 10.510
ATOMIC_POSITIONS angstrom
Pm -0.825 0.000 3.547
Pm 5.009 0.000 1.202
Pm 8.099 0.000 9.308
Pm 13.933 0.000 6.963
Y 3.252 0.000 8.185
Y 9.855 0.000 2.325
Th 0.000 0.000 0.000
Th 4.010 0.000 4.650
Th 9.098 0.000 5.860
```

=====

Entry 7:
# BaVAu3

A relaxed BaVAu3 crystal (PBE-GGA, Alexandria). Values from VASP.

Properties
E_form = -108 meV/atom
distance to the lowest polymorph of the same formula = 0.0 meV/atom

```
&SYSTEM
  ibrav = 0, nat = 5, ntyp = 3
/
ATOMIC_SPECIES
Ba 137.33 Ba.upf
V 50.94 V.upf
Au 196.97 Au.upf
CELL_PARAMETERS angstrom
5.134 0.000 0.000
0.000 5.134 0.000
0.000 0.000 5.134
ATOMIC_POSITIONS angstrom
Ba 0.000 0.000 0.000
V 2.567 2.567 2.567
Au 0.000 2.567 2.567
Au 2.567 0.000 2.567
Au 2.567 2.567 0.000
```

=====

Entry 8:
# YWN3

A relaxed YWN3 crystal (PBE-GGA, Alexandria). Values from VASP.

Properties
uncorrected formation energy = -92 kJ/mol of atoms

```
&SYSTEM
  ibrav = 0, nat = 10, ntyp = 3
/
ATOMIC_SPECIES
Y 88.91 Y.upf
W 183.84 W.upf
N 14.01 N.upf
CELL_PARAMETERS angstrom
2.793 1.612 4.631
-2.793 1.612 4.631
0.000 -3.225 4.631
ATOMIC_POSITIONS angstrom
Y 0.000 0.000 0.000
Y 0.000 0.000 6.947
W 0.000 0.000 3.615
W 0.000 0.000 10.561
N -1.148 -1.203 5.079
N -2.325 -0.017 7.394
N -0.468 1.595 5.079
N 1.177 -2.005 7.394
N 1.615 -0.393 5.079
N 1.148 2.022 7.394
```

=====

| no. | DOS at the Fermi energy (states/eV per cell) |
| --- | --- |
| 1 | 1.9 |
| 2 | 10.0 |
| 3 | 2.9 |
| 4 | 6.1 |
| 5 | 6.5 |
| 6 | 14.0 |
| 7 | 6.3 |
| 8 | 0.0 |